First-principles (GGA-PBE) data for ZnAs2WAu after structural relaxation, as listed in Alexandria via LeMat-Bulk.

Output
Energy of formation from the pure elements in kJ per mole of atoms: 60.6
D(E_F) in states/eV/atom: 0.474

abc: 4.814 4.814 5.037
angles: 90.00 90.00 90.00
Space group P4/mmm (No. 123)
Symmetry-distinct sites (fractional):
Zn  0.000  0.000  0.000 [1 per cell]
As  0.000  0.500  0.500 [2 per cell]
W  0.000  0.000  0.500 [1 per cell]
Au  0.500  0.500  0.000 [1 per cell]